Ho7Sb2Rh2 PBE-GGA relaxed; calculated volume = 292.1 Å³ per cell; ΔE to the lowest computed polymorph = 0.0 meV/atom; energy relative to the elements, uncorrected = -752 meV/atom; total magnetic moment = 0.099 μB per atom
1.0
-1.997 7.850 4.657
1.997 -7.850 4.657
1.997 7.850 -4.657
Ho Sb Rh
7 2 2
Direct
0.000 0.000 0.000
0.063 0.379 0.685
0.099 0.744 0.354
0.390 0.744 0.646
0.461 0.588 0.874
0.694 0.379 0.315
0.714 0.588 0.126
0.333 0.333 0.000
0.745 0.245 0.500
0.311 0.071 0.240
0.830 0.071 0.760